(1)
A plane-wave DFT calculation with PBE was carried out for crystalline RbHg3S3 at its relaxed geometry.

Geometry as extended XYZ:
```
14
Lattice="3.8966 2.2497 8.2380 -3.8966 2.2497 8.2380 0.0000 -4.4994 8.2380" Properties=species:S:1:pos:R:3 pbc="T T T"
Rb 0.0000 0.0000 4.1255
Rb 0.0000 0.0000 20.5884
Hg -1.1521 -2.1037 9.5787
Hg -2.3979 -0.0541 15.1352
Hg -1.2458 2.0496 9.5787
Hg 1.2458 -2.0496 15.1352
Hg 2.3979 0.0541 9.5787
Hg 1.1521 2.1037 15.1352
S -2.7119 -0.0445 9.9431
S -1.3175 -2.3708 14.7708
S 1.3945 -2.3264 9.9431
S -1.3945 2.3264 14.7708
S 1.3175 2.3708 9.9431
S 2.7119 0.0445 14.7708
```

Output
formation energy from raw total energies = -0.277 eV/atom
energy above the lowest structure with this stoichiometry = 0.13 eV/f.u.
spin magnetization = 0.000 μB per atom
final energy = -2.3135 eV/atom
SG = R-3
mass density = 6.0 g/cm³

***

(2)
A plane-wave DFT calculation with PBE was carried out for crystalline BaNb2Tl2O7 at its relaxed geometry.

Geometry as extended XYZ:
```
12
Lattice="2.9165 -2.8926 0.0000 2.9165 2.8926 0.0000 -2.1034 0.0000 11.6199" Properties=species:S:1:pos:R:3 pbc="T T T"
Ba 0.0000 0.0000 0.0000
Nb 0.6790 0.0000 9.4460
Nb 3.0506 0.0000 2.1738
Tl 0.2981 0.0000 4.5304
Tl 3.4316 0.0000 7.0895
O 1.4238 1.4440 2.0132
O 0.8863 0.0000 7.5740
O 2.3058 1.4440 9.6067
O 2.9165 0.0000 0.0000
O 1.4238 -1.4440 2.0132
O 2.8433 0.0000 4.0459
O 2.3058 -1.4440 9.6067
```

Output
formation energy from raw total energies = -2.227 eV/atom
spin magnetization = 0.000 μB per atom
final energy = -7.3527 eV/atom
SG = C2/m
mass density = 7.1 g/cm³

***

(3)
A plane-wave DFT calculation with PBE was carried out for crystalline LaPm2TmSe4 at its relaxed geometry.

Geometry as extended XYZ:
```
8
Lattice="7.2153 0.0000 0.0000 0.0000 4.1252 0.0000 -2.3614 0.0000 6.9636" Properties=species:S:1:pos:R:3 pbc="T T T"
La 0.0000 0.0000 0.0000
Pm 2.4269 0.0000 3.4818
Pm 3.6076 2.0626 0.0000
Tm -1.1807 2.0626 3.4818
Se -0.0048 0.0000 5.1197
Se 1.1778 2.0626 1.8216
Se 3.6760 2.0626 5.1419
Se 4.8587 0.0000 1.8438
```

Output
formation energy from raw total energies = -1.823 eV/atom
spin magnetization = 0.000 μB per atom
final energy = -5.9278 eV/atom
SG = P2/m
mass density = 7.3 g/cm³

***

(4)
A plane-wave DFT calculation with PBE was carried out for crystalline DyNpOsRh at its relaxed geometry.

Geometry as extended XYZ:
```
4
Lattice="0.0000 3.4032 3.4032 3.4032 0.0000 3.4032 3.4032 3.4032 0.0000" Properties=species:S:1:pos:R:3 pbc="T T T"
Dy 0.0000 0.0000 0.0000
Np 3.4032 3.4032 3.4032
Os 5.1048 5.1048 5.1048
Rh 1.7016 1.7016 1.7016
```

Output
energy relative to the elements = -0.247 eV per atom
spin magnetization = 0.744 μB per atom
final energy = -9.2778 eV/atom
SG = F-43m
mass density = 14.6 g/cm³

***

(5)
A plane-wave DFT calculation with PBE was carried out for crystalline KTaIr2Cl at its relaxed geometry.

Geometry as extended XYZ:
```
5
Lattice="4.8481 0.0000 0.0000 0.0000 4.8481 0.0000 0.0000 0.0000 5.2730" Properties=species:S:1:pos:R:3 pbc="T T T"
K 0.0000 0.0000 0.0000
Ta 2.4241 2.4241 2.6365
Ir 0.0000 2.4241 2.6365
Ir 2.4241 0.0000 2.6365
Cl 2.4241 2.4241 0.0000
```

Output
formation energy from raw total energies = 0.485 eV/atom
spin magnetization = 0.000 μB per atom
final energy = -6.0190 eV/atom
SG = P4/mmm
mass density = 8.6 g/cm³

***

(6)
A plane-wave DFT calculation with PBE was carried out for crystalline TlSiAu at its relaxed geometry.

Geometry as extended XYZ:
```
6
Lattice="4.1114 0.0000 0.0000 0.0000 4.1114 0.0000 0.0000 0.0000 7.9902" Properties=species:S:1:pos:R:3 pbc="T T T"
Tl 1.0279 3.0836 0.0000
Tl 3.0836 1.0279 0.0000
Si 1.0279 1.0279 2.8952
Si 3.0836 3.0836 5.0951
Au 1.0279 1.0279 5.3172
Au 3.0836 3.0836 2.6730
```

Output
formation energy from raw total energies = 0.374 eV/atom
spin magnetization = 0.000 μB per atom
final energy = -3.3153 eV/atom
SG = P4/nmm
mass density = 10.6 g/cm³